Below is a relaxed TcHgMo2 crystal, with properties calculated at the PBE level.

Summary:
The formation energy is 1.6 eV per formula unit. The density of states at the Fermi level comes out at 7.1 states/eV/cell.

CIF file:
```
data_TcHgMo2
_chemical_formula_sum 'Tc2 Hg2 Mo4'
_cell_length_a 3.229
_cell_length_b 4.524
_cell_length_c 9.224
_cell_angle_alpha 90.00
_cell_angle_beta 90.00
_cell_angle_gamma 90.00
_symmetry_space_group_name_H-M 'C m m m'
_symmetry_Int_Tables_number 65
_symmetry_space_group_name_Hall '-C 2 2'
loop_
_atom_site_label
_atom_site_type_symbol
_atom_site_fract_x
_atom_site_fract_y
_atom_site_fract_z
Tc1 Tc 0.000 0.000 0.000
Hg1 Hg 0.000 0.000 0.500
Mo1 Mo 0.000 0.500 0.227
```